# SmY3Zr2N6 (PBE-GGA, relaxed)
data_SmY3Zr2N6
_chemical_formula_sum 'Sm2 Y6 Zr4 N12'
_symmetry_space_group_name_H-M 'C 1 2/m 1'
_symmetry_Int_Tables_number 12
_cell_length_a 14.8665
_cell_length_b 3.4077
_cell_length_c 6.8509
_cell_angle_alpha 90.00
_cell_angle_beta 103.29
_cell_angle_gamma 90.00
loop_
_symmetry_equiv_pos_as_xyz
'x,y,z'
'-x,-y,-z'
'-x,y,-z'
'x,-y,z'
'x+1/2,y+1/2,z'
'-x+1/2,-y+1/2,-z'
'-x+1/2,y+1/2,-z'
'x+1/2,-y+1/2,z'
loop_
_atom_site_label
_atom_site_type_symbol
_atom_site_fract_x
_atom_site_fract_y
_atom_site_fract_z
Sm1 Sm 0.0000 0.0000 0.0000
Y1 Y 0.0000 0.0000 0.5000
Y2 Y 0.1673 0.5000 0.8324
Zr1 Zr 0.1677 0.5000 0.3359
N1 N 0.0082 0.5000 0.2609
N2 N 0.1702 0.0000 0.1009
N3 N 0.1716 0.0000 0.5740
# Magnetization: 0.0 μB per formula unit
# Final energy: -9.259 eV/atom
# V: 14.1 Å³ per atom
# Raw formation energy: -1662 meV per atom

---

# Sm4ZnN (PBE-GGA, relaxed)
data_Sm4ZnN
_chemical_formula_sum 'Sm4 Zn1 N1'
_symmetry_space_group_name_H-M 'P 1 2/m 1'
_symmetry_Int_Tables_number 10
_cell_length_a 6.6582
_cell_length_b 3.5557
_cell_length_c 7.4161
_cell_angle_alpha 90.00
_cell_angle_beta 108.67
_cell_angle_gamma 90.00
loop_
_symmetry_equiv_pos_as_xyz
'x,y,z'
'-x,-y,-z'
'-x,y,-z'
'x,-y,z'
loop_
_atom_site_label
_atom_site_type_symbol
_atom_site_fract_x
_atom_site_fract_y
_atom_site_fract_z
Sm1 Sm 0.2136 0.0000 0.2028
Sm2 Sm 0.2521 0.5000 0.8110
Zn1 Zn 0.0000 0.0000 0.5000
N1 N 0.0000 0.5000 0.0000
# Magnetization: 0.0 μB per formula unit
# Final energy: -5.163 eV/atom
# V: 27.7 Å³ per atom
# Raw formation energy: -417 meV per atom

---

# Sm4Zn2N (PBE-GGA, relaxed)
data_Sm4Zn2N
_chemical_formula_sum 'Sm8 Zn4 N2'
_symmetry_space_group_name_H-M 'P b a m'
_symmetry_Int_Tables_number 55
_cell_length_a 7.4853
_cell_length_b 12.7521
_cell_length_c 3.6819
_cell_angle_alpha 90.00
_cell_angle_beta 90.00
_cell_angle_gamma 90.00
loop_
_symmetry_equiv_pos_as_xyz
'x,y,z'
'-x,-y,-z'
'-x,-y,z'
'x,y,-z'
'x+1/2,-y+1/2,-z'
'-x+1/2,y+1/2,z'
'-x+1/2,y+1/2,-z'
'x+1/2,-y+1/2,z'
loop_
_atom_site_label
_atom_site_type_symbol
_atom_site_fract_x
_atom_site_fract_y
_atom_site_fract_z
Sm1 Sm 0.1099 0.1845 0.0000
Sm2 Sm 0.2158 0.9549 0.5000
Zn1 Zn 0.0804 0.6667 0.5000
N1 N 0.0000 0.0000 0.0000
# Magnetization: 0.0 μB per formula unit
# Final energy: -4.700 eV/atom
# V: 25.1 Å³ per atom
# Raw formation energy: -450 meV per atom
# Offset from the most stable computed form: 87 meV/atom

---

# Sm4Zn2N (PBE-GGA, relaxed)
data_Sm4Zn2N
_chemical_formula_sum 'Sm8 Zn4 N2'
_symmetry_space_group_name_H-M 'I 4/m m m'
_symmetry_Int_Tables_number 139
_symmetry_space_group_name_Hall '-I 4 2'
_cell_length_a 4.9395
_cell_length_b 4.9395
_cell_length_c 14.2845
_cell_angle_alpha 90.00
_cell_angle_beta 90.00
_cell_angle_gamma 90.00
loop_
_atom_site_label
_atom_site_type_symbol
_atom_site_fract_x
_atom_site_fract_y
_atom_site_fract_z
Sm1 Sm 0.0000 0.0000 0.1732
Sm2 Sm 0.0000 0.5000 0.0000
Zn1 Zn 0.0000 0.0000 0.3773
N1 N 0.0000 0.0000 0.0000
# Magnetization: 0.0 μB per formula unit
# Final energy: -4.787 eV/atom
# V: 24.9 Å³ per atom
# Raw formation energy: -537 meV per atom
# Offset from the most stable computed form: 0 meV/atom

---

# Sm12Zn3N5 (PBE-GGA, relaxed)
data_Sm12Zn3N5
_chemical_formula_sum 'Sm96 Zn24 N40'
_symmetry_space_group_name_H-M 'I a -3 d'
_symmetry_Int_Tables_number 230
_symmetry_space_group_name_Hall '-I 4bd 2c 3'
_cell_length_a 15.7682
_cell_length_b 15.7682
_cell_length_c 15.7682
_cell_angle_alpha 90.00
_cell_angle_beta 90.00
_cell_angle_gamma 90.00
loop_
_atom_site_label
_atom_site_type_symbol
_atom_site_fract_x
_atom_site_fract_y
_atom_site_fract_z
Sm1 Sm 0.0354 0.0527 0.6487
Zn1 Zn 0.0000 0.2500 0.1250
N1 N 0.0000 0.0000 0.0000
N2 N 0.0000 0.2500 0.3750
# Magnetization: 0.0 μB per formula unit
# Final energy: -5.799 eV/atom
# V: 24.5 Å³ per atom
# Raw formation energy: -695 meV per atom

---

# SmZnN (PBE-GGA, relaxed)
data_SmZnN
_chemical_formula_sum 'Sm4 Zn4 N4'
_symmetry_space_group_name_H-M 'C m c m'
_symmetry_Int_Tables_number 63
_symmetry_space_group_name_Hall '-C 2c 2'
_cell_length_a 4.0143
_cell_length_b 12.8706
_cell_length_c 4.8029
_cell_angle_alpha 90.00
_cell_angle_beta 90.00
_cell_angle_gamma 90.00
loop_
_atom_site_label
_atom_site_type_symbol
_atom_site_fract_x
_atom_site_fract_y
_atom_site_fract_z
Sm1 Sm 0.0000 0.1889 0.2500
Zn1 Zn 0.0000 0.5000 0.0000
N1 N 0.0000 0.2218 0.7500
# Magnetization: 0.0 μB per formula unit
# Final energy: -5.297 eV/atom
# V: 20.7 Å³ per atom
# Raw formation energy: -524 meV per atom